Entry from Alexandria via LeMat-Bulk: LiCa2Br after structural relaxation (GGA-PBE).

a b c (Å): 3.752 3.752 8.613
angles (deg): 90.00 90.00 90.00
Sites, in units of the cell vectors:
Br 0.500 0.500 0.750
Ca 0.000 0.000 0.010
Ca 0.000 0.000 0.490
Li 0.500 0.500 0.250

Density (Mg/m³): 2.29
D(E_F) (states/eV/cell): 2.83
E (eV per atom): -2.46
SG: P4/mmm
Formation energy without anion corrections (kJ/mol of formula units): -217

=====

Entry from Alexandria via LeMat-Bulk: Sm2PuCo3 after structural relaxation (GGA-PBE).

a b c (Å): 5.673 5.673 7.930
angles (deg): 90.00 90.00 120.00
Sites, in units of the cell vectors:
Sm 0.667 0.333 0.439
Sm 0.333 0.667 0.561
Sm 0.333 0.667 0.939
Sm 0.667 0.333 0.061
Pu 0.000 0.000 0.500
Pu 0.000 0.000 0.000
Co 0.177 0.355 0.250
Co 0.355 0.177 0.750
Co 0.823 0.645 0.750
Co 0.177 0.823 0.250
Co 0.823 0.177 0.750
Co 0.645 0.823 0.250

Density (Mg/m³): 10.84
D(E_F) (states/eV/cell): 20.96
E (eV per atom): -7.55
ΔE_f (eV per atom): -0.031
SG: P6_3/mmc

=====

Entry from Alexandria via LeMat-Bulk: CsYRu2O8 after structural relaxation (GGA-PBE).

a b c (Å): 5.737 5.737 8.914
angles (deg): 86.67 86.67 63.90
Sites, in units of the cell vectors:
Cs 0.000 0.000 0.500
Y 0.000 0.000 0.000
Ru 0.632 0.632 0.213
Ru 0.368 0.368 0.787
O 0.713 0.225 0.819
O 0.776 0.776 0.076
O 0.682 0.682 0.398
O 0.318 0.318 0.602
O 0.224 0.224 0.924
O 0.225 0.713 0.819
O 0.775 0.287 0.181
O 0.287 0.775 0.181

Density (Mg/m³): 3.49
D(E_F) (states/eV/cell): 1.93
E (eV per atom): -6.96
SG: C2/m
Formation energy without anion corrections (kJ/mol of formula units): -1736

=====

Entry from Alexandria via LeMat-Bulk: LiYMnRe2 after structural relaxation (GGA-PBE).

a b c (Å): 4.477 4.594 4.477
angles (deg): 90.00 90.00 90.00
Sites, in units of the cell vectors:
Y 0.500 0.500 0.500
Re 0.000 0.000 0.500
Re 0.500 0.000 0.000
Mn 0.000 0.000 0.000
Li 0.000 0.500 0.000

Density (Mg/m³): 9.44
D(E_F) (states/eV/cell): 6.25
E (eV per atom): -7.78
ΔE_f (eV per atom): 0.710
SG: P4/mmm

=====

Entry from Alexandria via LeMat-Bulk: RbZnN2 after structural relaxation (GGA-PBE).

a b c (Å): 4.770 4.770 7.123
angles (deg): 70.44 70.44 90.00
Sites, in units of the cell vectors:
Zn 0.500 0.500 0.000
Zn 0.250 0.750 0.500
Rb 0.000 0.000 0.000
Rb 0.750 0.250 0.500
N 0.375 0.125 0.250
N 0.375 0.625 0.250
N 0.375 0.625 0.750
N 0.875 0.625 0.750

Density (Mg/m³): 4.16
D(E_F) (states/eV/cell): 2.75
E (eV per atom): -3.78
SG: I4_1/amd
Formation energy without anion corrections (kJ/mol of formula units): 363

=====

Entry from Alexandria via LeMat-Bulk: AlTcBr2 after structural relaxation (GGA-PBE).

a b c (Å): 4.884 4.884 4.884
angles (deg): 60.00 60.00 60.00
Sites, in units of the cell vectors:
Tc 0.500 0.500 0.500
Br 0.250 0.250 0.250
Br 0.750 0.750 0.750
Al 0.000 0.000 0.000

Density (Mg/m³): 5.74
D(E_F) (states/eV/cell): 3.32
E (eV per atom): -3.66
SG: Fm-3m
Formation energy without anion corrections (kJ/mol of formula units): 273